<one>
A relaxed KReIO2 crystal. Source: Alexandria, functional PBE.

Values from the calculation:
DOS at the Fermi energy   2.106 states/eV/f.u.
Calculated volume   19.62 A^3/atom

The structure in POSCAR format:
```
KReIO2
1.0
4.0485 0.0000 0.0000
0.0000 4.0485 0.0000
0.0000 0.0000 5.9861
K Re I O
1 1 1 2
Cartesian
0.0000 0.0000 0.0000
2.0242 2.0242 2.9931
2.0242 2.0242 0.0000
0.0000 2.0242 2.9931
2.0242 0.0000 2.9931
```


<two>
A relaxed KReIO2 crystal. Source: Alexandria, functional PBE.

Values from the calculation:
DOS at the Fermi energy   3.204 states/eV/f.u.
Calculated volume   27.91 A^3/atom

The structure in POSCAR format:
```
KReIO2
1.0
4.6084 0.0000 0.0000
0.0000 4.6084 0.0000
0.0000 0.0000 6.5715
K Re I O
1 1 1 2
Cartesian
0.0000 0.0000 0.0000
2.3042 2.3042 3.2858
0.0000 0.0000 3.2858
0.0000 2.3042 0.0000
2.3042 0.0000 0.0000
```


Stability ranking, top and bottom: <one> is the most stable and <two> is the least stable.


<one>
A relaxed KRhI2O crystal. Source: Alexandria, functional PBE.

Values from the calculation:
DOS at the Fermi energy   2.983 states/eV/f.u.
Calculated volume   26.44 A^3/atom

The structure in POSCAR format:
```
KRhI2O
1.0
5.8852 0.0000 0.0000
0.0000 5.8852 0.0000
0.0000 0.0000 3.8170
K Rh I O
1 1 2 1
Cartesian
0.0000 0.0000 0.0000
2.9426 2.9426 1.9085
0.0000 2.9426 1.9085
2.9426 0.0000 1.9085
2.9426 2.9426 0.0000
```


<two>
A relaxed KRhI2O crystal. Source: Alexandria, functional PBE.

Values from the calculation:
DOS at the Fermi energy   12.144 states/eV/f.u.
Calculated volume   34.21 A^3/atom

The structure in POSCAR format:
```
KRhI2O
1.0
6.2673 0.0000 0.0000
0.0000 6.2673 0.0000
0.0000 0.0000 4.3550
K Rh I O
1 1 2 1
Cartesian
0.0000 0.0000 0.0000
3.1336 3.1336 2.1775
0.0000 3.1336 0.0000
3.1336 0.0000 0.0000
0.0000 0.0000 2.1775
```


Stability ranking, top and bottom: <one> is the most stable and <two> is the least stable.